# NaRu3C (GGA-PBE, optimized geometry)
# - Volume: 69 Å³ per cell
# - Relative energy among the computed polymorphs: 0 kJ/mol of formula units
# - Final energy: -7.14 eV per atom
# - N(E_F): 5.86 states/eV per cell
# - Spin magnetization: 1.15 μB per formula unit
data_NaRu3C
_chemical_formula_sum 'Na1 Ru3 C1'
_symmetry_space_group_name_H-M 'P m -3 m'
_symmetry_Int_Tables_number 221
_symmetry_space_group_name_Hall '-P 4 2 3'
_cell_length_a 4.098
_cell_length_b 4.098
_cell_length_c 4.098
_cell_angle_alpha 90.00
_cell_angle_beta 90.00
_cell_angle_gamma 90.00
loop_
_atom_site_label
_atom_site_type_symbol
_atom_site_fract_x
_atom_site_fract_y
_atom_site_fract_z
_atom_site_occupancy
Na1 Na 0.000 0.000 0.000 1
Ru1 Ru 0.000 0.500 0.500 1
C1 C 0.500 0.500 0.500 1